1.
VASP calculation (PBE) on a relaxed structure of BaFeTc2.

abc: 5.779 5.779 5.779
angles: 148.16 121.53 68.13
Sites, in units of the cell vectors:
Tc 0.997 0.997 0.000
Fe 0.198 0.698 0.500
Tc 0.807 0.307 0.500
Ba 0.499 0.499 0.000

Output
Its space group is Imm2. Its crystal system is orthorhombic. The total energy comes out at -26.80 eV for the cell shown.

***

2.
VASP calculation (PBE) on a relaxed structure of BaFeTc2.

abc: 4.225 4.225 6.554
angles: 71.21 71.21 60.02
Sites, in units of the cell vectors:
Fe 0.250 0.250 0.250
Tc 0.559 0.559 0.322
Ba 0.750 0.750 0.750
Tc 0.941 0.941 0.178

Output
Its space group is R-3m. Its crystal system is trigonal. The total energy comes out at -29.01 eV for the cell shown.

***

3.
VASP calculation (PBE) on a relaxed structure of BaFeTc.

abc: 6.366 6.366 6.366
angles: 149.44 149.41 43.79
Sites, in units of the cell vectors:
Ba 0.998 0.998 0.000
Fe 0.270 0.270 0.000
Tc 0.732 0.732 0.000

Output
Its space group is I4mm. Its crystal system is tetragonal. The total energy comes out at -18.55 eV for the cell shown.

***

Sequential E_form output: 1.079, 0.526, 0.735 eV/atom